Ti2HgPt2 | PBE | optimized geometry

Properties
The calculated density comes out at 11.74 g/cm³. Its formation energy is -0.534 eV/atom.

```
Ti2HgPt2
1.0
-2.178 2.178 5.118
2.178 -2.178 5.118
2.178 2.178 -5.118
Ti Hg Pt
2 1 2
direct
0.250 0.750 0.500
0.750 0.250 0.500
0.000 0.000 0.000
0.374 0.374 0.000
0.626 0.626 0.000
```